PrEr5TmTh2: optimized geometry, PBE-GGA.

## Properties
Final energy   -4.87 eV per atom
Crystal system   tetragonal
Calculated volume   32.5 Å³ per atom
Calculated formation energy   0.3382 eV/atom

Cell: 8.678 8.678 15.524 Å, 90.00 90.00 90.00°
Space group I4/mcm (No. 140)
One atom of each set of equivalent atoms:
Pr: 0.000 0.500 0.250 (multiplicity 4)
Er: 0.000 0.000 0.000 (multiplicity 4)
Er: 0.209 0.291 0.140 (multiplicity 16)
Tm: 0.000 0.000 0.250 (multiplicity 4)
Th: 0.120 0.380 0.500 (multiplicity 8)

---

Pr2ErTm5Th: optimized geometry, PBE-GGA.

## Properties
Final energy   -4.58 eV per atom
Crystal system   tetragonal
Calculated volume   32.0 Å³ per atom
Calculated formation energy   0.2968 eV/atom

Cell: 8.665 8.665 15.333 Å, 90.00 90.00 90.00°
Space group I4/mcm (No. 140)
One atom of each set of equivalent atoms:
Pr: 0.117 0.383 0.000 (multiplicity 8)
Er: 0.000 0.500 0.250 (multiplicity 4)
Tm: 0.000 0.000 0.000 (multiplicity 4)
Tm: 0.214 0.286 0.359 (multiplicity 16)
Th: 0.000 0.000 0.250 (multiplicity 4)

---

PrEr3TmTh: optimized geometry, PBE-GGA.

## Properties
Final energy   -5.03 eV per atom
Crystal system   monoclinic
Calculated volume   31.8 Å³ per atom
Calculated formation energy   0.0293 eV/atom

Cell: 7.939 5.044 10.068 Å, 90.00 108.94 90.00°
Space group P2_1/m (No. 11)
One atom of each set of equivalent atoms:
Pr: 0.168 0.250 0.292 (multiplicity 2)
Er: 0.170 0.750 0.544 (multiplicity 2)
Er: 0.174 0.750 0.043 (multiplicity 2)
Er: 0.176 0.250 0.793 (multiplicity 2)
Tm: 0.499 0.250 0.628 (multiplicity 2)
Th: 0.497 0.750 0.878 (multiplicity 2)

---

PrEr2TmTh: optimized geometry, PBE-GGA.

## Properties
Final energy   -4.83 eV per atom
Crystal system   monoclinic
Calculated volume   34.3 Å³ per atom
Calculated formation energy   0.3287 eV/atom

Cell: 3.528 5.619 8.663 Å, 90.00 90.10 90.00°
Space group P2/m (No. 10)
One atom of each set of equivalent atoms:
Pr: 0.000 0.000 0.000 (multiplicity 1)
Er: 0.001 0.500 0.323 (multiplicity 2)
Tm: 0.500 0.000 0.500 (multiplicity 1)
Th: 0.500 0.500 0.000 (multiplicity 1)

---

Pr6Er3Tm2Th: optimized geometry, PBE-GGA.

## Properties
Final energy   -4.86 eV per atom
Crystal system   monoclinic
Calculated volume   33.3 Å³ per atom
Calculated formation energy   0.0368 eV/atom

Cell: 6.274 10.868 11.905 Å, 90.00 100.16 90.00°
Space group C2/m (No. 12)
One atom of each set of equivalent atoms:
Pr: 0.247 0.000 0.251 (multiplicity 4)
Pr: 0.249 0.165 0.750 (multiplicity 8)
Er: 0.000 0.167 0.000 (multiplicity 4)
Er: 0.000 0.500 0.000 (multiplicity 2)
Tm: 0.000 0.333 0.500 (multiplicity 4)
Th: 0.000 0.000 0.500 (multiplicity 2)

---

Pr3Er6Tm2Th: optimized geometry, PBE-GGA.

## Properties
Final energy   -4.82 eV per atom
Crystal system   monoclinic
Calculated volume   31.9 Å³ per atom
Calculated formation energy   0.0222 eV/atom

Cell: 6.175 10.697 11.773 Å, 90.00 100.11 90.00°
Space group C2/m (No. 12)
One atom of each set of equivalent atoms:
Pr: 0.000 0.000 0.000 (multiplicity 2)
Pr: 0.000 0.333 0.000 (multiplicity 4)
Er: 0.247 0.335 0.745 (multiplicity 8)
Er: 0.248 0.500 0.255 (multiplicity 4)
Tm: 0.000 0.167 0.500 (multiplicity 4)
Th: 0.000 0.500 0.500 (multiplicity 2)

---

PrEr2Tm5Th: optimized geometry, PBE-GGA.

## Properties
Final energy   -4.53 eV per atom
Crystal system   tetragonal
Calculated volume   31.5 Å³ per atom
Calculated formation energy   0.3194 eV/atom

Cell: 8.706 8.706 14.949 Å, 90.00 90.00 90.00°
Space group I4/mcm (No. 140)
One atom of each set of equivalent atoms:
Pr: 0.000 0.500 0.250 (multiplicity 4)
Er: 0.115 0.385 0.000 (multiplicity 8)
Tm: 0.000 0.000 0.000 (multiplicity 4)
Tm: 0.207 0.293 0.365 (multiplicity 16)
Th: 0.000 0.000 0.250 (multiplicity 4)

---

Pr2ErTm2Th2: optimized geometry, PBE-GGA.

## Properties
Final energy   -5.30 eV per atom
Crystal system   monoclinic
Calculated volume   33.2 Å³ per atom
Calculated formation energy   0.1122 eV/atom

Cell: 17.185 3.518 8.839 Å, 90.00 119.63 90.00°
Space group C2/m (No. 12)
One atom of each set of equivalent atoms:
Pr: 0.203 0.000 0.287 (multiplicity 4)
Er: 0.000 0.500 0.000 (multiplicity 2)
Tm: 0.141 0.000 0.846 (multiplicity 4)
Th: 0.070 0.500 0.438 (multiplicity 4)

---

Q: Which value of final energy does entry 2 give?
A: -4.58 eV per atom